KCrIn2F8 | GGA+U | relaxed

Computed properties:
VASP energy   -4.877 eV per atom
Crystal system   monoclinic

Unit cell a=5.257 b=7.118 c=5.379 alpha=90.00 beta=94.49 gamma=90.00
Space group P2/m (No. 10)
Symmetry-distinct sites (fractional):
K1 0.000 0.000 0.000 (multiplicity 1)
Cr1 0.000 0.500 0.000 (multiplicity 1)
In1 0.500 0.258 0.500 (multiplicity 2)
F1 0.203 0.296 0.195 (multiplicity 4)
F2 0.312 0.500 0.677 (multiplicity 2)
F3 0.330 0.000 0.659 (multiplicity 2)